[1]
This record from the Alexandria database describes an optimized crystal structure of RbY2Au2. The functional is GGA-PBE.

## Properties
formation energy = -1.757 eV/f.u.
size of the total moment = 0.00 μB per atom
DFT total energy = -4.4416 eV/atom

Cell lengths 5.1016, 5.1016, 11.8491 Å; angles 90.00, 90.00, 90.00 degrees
Closest atoms and distances in Å follow each position.
Space group I4/mmm (No. 139)
Unique sites:
Rb (0.0000, 0.0000, 0.0000) (multiplicity 2)  8 Au 3.88, 8 Y 3.91
Y (0.0000, 0.5000, 0.2500) (multiplicity 4)  4 Au 2.97
Au (0.0000, 0.0000, 0.3790) (multiplicity 4)  1 Au 2.87, 4 Y 2.97


[2]
This record from the Alexandria database describes an optimized crystal structure of RbY2Au. The functional is GGA-PBE.

## Properties
formation energy = 0.857 eV/f.u.
size of the total moment = 0.00 μB per atom
DFT total energy = -4.0790 eV/atom

Cell lengths 7.6060, 7.6060, 7.6060 Å; angles 90.00, 90.00, 90.00 degrees
Closest atoms and distances in Å follow each position.
Space group Fm-3m (No. 225)
Unique sites:
Rb (0.0000, 0.0000, 0.0000) (multiplicity 4)  8 Y 3.29
Y (0.2500, 0.2500, 0.2500) (multiplicity 8)  4 Rb 3.29, 4 Au 3.29
Au (0.0000, 0.0000, 0.5000) (multiplicity 4)  8 Y 3.29


[3]
This record from the Alexandria database describes an optimized crystal structure of Rb3Zn4Au2. The functional is GGA-PBE.

## Properties
formation energy = -0.911 eV/f.u.
size of the total moment = 0.00 μB per atom
DFT total energy = -1.7182 eV/atom

Cell lengths 13.2282, 4.3340, 10.3531 Å; angles 90.00, 110.56, 90.00 degrees
Closest atoms and distances in Å follow each position.
Space group C2/m (No. 12)
Unique sites:
Rb (0.0000, 0.0000, 0.0000) (multiplicity 2)  6 Zn 3.63-3.81, 4 Au 3.85
Rb (0.0844, 0.5000, 0.6881) (multiplicity 4)  8 Zn 3.59-4.00, 3 Au 3.60-3.75, 1 Rb 3.75
Zn (0.1875, 0.0000, 0.4340) (multiplicity 4)  3 Au 2.64-2.74, 2 Zn 2.78
Zn (0.2324, 0.5000, 0.0611) (multiplicity 4)  1 Au 2.60, 2 Zn 2.63
Au (0.1926, 0.5000, 0.2903) (multiplicity 4)  4 Zn 2.60-2.74


[4]
This record from the Alexandria database describes an optimized crystal structure of RbZn3Au3. The functional is GGA-PBE.

## Properties
formation energy = -0.663 eV/f.u.
size of the total moment = 0.00 μB per atom
DFT total energy = -2.1836 eV/atom

Cell lengths 7.2632, 7.2632, 7.2632 Å; angles 90.00, 90.00, 90.00 degrees
Closest atoms and distances in Å follow each position.
Space group Pm-3n (No. 223)
Unique sites:
Rb (0.0000, 0.0000, 0.0000) (multiplicity 2)  12 Zn 4.06, 12 Au 4.06
Zn (0.0000, 0.2500, 0.5000) (multiplicity 6)  4 Au 2.57
Au (0.0000, 0.5000, 0.2500) (multiplicity 6)  4 Zn 2.57


[5]
This record from the Alexandria database describes an optimized crystal structure of Rb6ZnAu3. The functional is GGA-PBE.

## Properties
formation energy = -1.368 eV/f.u.
size of the total moment = 0.00 μB per atom
DFT total energy = -1.8279 eV/atom

Cell lengths 10.2128, 7.8692, 13.9533 Å; angles 90.00, 120.24, 90.00 degrees
Closest atoms and distances in Å follow each position.
Space group P2_1/c (No. 14)
Unique sites:
Rb (0.1091, 0.1492, 0.2574) (multiplicity 4)  3 Au 3.39-3.64
Rb (0.2280, 0.6378, 0.1130) (multiplicity 4)  3 Au 3.51-3.70
Rb (0.3714, 0.0889, 0.0645) (multiplicity 4)  3 Au 3.49-3.57, 1 Zn 3.77
Zn (0.5000, 0.0000, 0.5000) (multiplicity 2)  2 Au 2.64
Au (0.0000, 0.0000, 0.0000) (multiplicity 2)  6 Rb 3.39-3.51
Au (0.2884, 0.7290, 0.8869) (multiplicity 4)  1 Zn 2.64


[6]
This record from the Alexandria database describes an optimized crystal structure of Rb3ZnAu3. The functional is GGA-PBE.

## Properties
formation energy = -1.752 eV/f.u.
size of the total moment = 0.00 μB per atom
DFT total energy = -2.2515 eV/atom

Cell lengths 12.5806, 4.9258, 16.6677 Å; angles 90.00, 111.54, 90.00 degrees
Closest atoms and distances in Å follow each position.
Space group C2/m (No. 12)
Unique sites:
Rb (0.0190, 0.0000, 0.3901) (multiplicity 4)  5 Au 3.41-3.72, 4 Zn 3.62-3.69
Rb (0.1006, 0.0000, 0.9208) (multiplicity 4)  7 Au 3.53-3.77
Rb (0.2448, 0.5000, 0.7718) (multiplicity 4)  6 Au 3.45-3.84
Zn (0.2357, 0.5000, 0.4032) (multiplicity 4)  4 Au 2.63-2.75
Au (0.0689, 0.5000, 0.2470) (multiplicity 4)  1 Zn 2.68, 1 Au 2.95
Au (0.1005, 0.5000, 0.0802) (multiplicity 4)  2 Au 2.93-2.95
Au (0.1916, 0.5000, 0.5533) (multiplicity 4)  3 Zn 2.63-2.75


[7]
This record from the Alexandria database describes an optimized crystal structure of Rb2Zn3Au4. The functional is GGA-PBE.

## Properties
formation energy = -1.125 eV/f.u.
size of the total moment = 0.00 μB per atom
DFT total energy = -2.2213 eV/atom

Cell lengths 6.4536, 11.1195, 25.2780 Å; angles 90.00, 90.00, 90.00 degrees
Closest atoms and distances in Å follow each position.
Space group Fddd (No. 70, origin choice 2)
Unique sites:
Rb (0.1250, 0.1250, 0.0475) (multiplicity 16)  6 Au 3.36-3.72, 2 Zn 3.57
Zn (0.1250, 0.1250, 0.3592) (multiplicity 16)  4 Au 2.67-2.69
Zn (0.1250, 0.1250, 0.6250) (multiplicity 8)  4 Au 2.66
Au (0.0565, 0.2933, 0.6978) (multiplicity 32)  3 Zn 2.66-2.69, 2 Au 2.90-2.96


[8]
This record from the Alexandria database describes an optimized crystal structure of Rb2ZnAu. The functional is GGA-PBE.

## Properties
formation energy = -0.122 eV/f.u.
size of the total moment = 0.00 μB per atom
DFT total energy = -1.6522 eV/atom

Cell lengths 4.2664, 4.2664, 8.6382 Å; angles 90.00, 90.00, 90.00 degrees
Closest atoms and distances in Å follow each position.
Space group P4/mmm (No. 123)
Unique sites:
Rb (0.0000, 0.0000, 0.2287) (multiplicity 2)  4 Au 3.61, 4 Zn 3.82, 1 Rb 3.95
Zn (0.5000, 0.5000, 0.5000) (multiplicity 1)  8 Rb 3.82, 4 Zn 4.27
Au (0.5000, 0.5000, 0.0000) (multiplicity 1)  8 Rb 3.61


[9]
This record from the Alexandria database describes an optimized crystal structure of Rb2ZnAu. The functional is GGA-PBE.

## Properties
formation energy = -0.694 eV/f.u.
size of the total moment = 0.00 μB per atom
DFT total energy = -1.7950 eV/atom

Cell lengths 4.6280, 4.6280, 28.1737 Å; angles 90.00, 90.00, 120.00 degrees
Closest atoms and distances in Å follow each position.
Space group R3m (No. 160, hexagonal axes)
Unique sites:
Rb (0.0000, 0.0000, 0.0000) (multiplicity 3)  3 Au 3.62, 3 Zn 3.62
Rb (0.0000, 0.0000, 0.1738) (multiplicity 3)  3 Zn 3.62, 3 Au 3.63
Zn (0.0000, 0.0000, 0.7536) (multiplicity 3)  3 Au 2.67
Au (0.0000, 0.0000, 0.4202) (multiplicity 3)  3 Zn 2.67


[10]
This record from the Alexandria database describes an optimized crystal structure of RbZn2Au2. The functional is GGA-PBE.

## Properties
formation energy = -0.519 eV/f.u.
size of the total moment = 0.00 μB per atom
DFT total energy = -2.1179 eV/atom

Cell lengths 8.4067, 8.4067, 2.9391 Å; angles 90.00, 90.00, 90.00 degrees
Closest atoms and distances in Å follow each position.
Space group P4/mbm (No. 127)
Unique sites:
Rb (0.0000, 0.0000, 0.0000) (multiplicity 2)  2 Rb 2.94
Zn (0.1175, 0.3825, 0.0000) (multiplicity 4)  3 Zn 2.79-2.94, 6 Au 2.87-2.91
Au (0.1714, 0.6714, 0.5000) (multiplicity 4)  6 Zn 2.87-2.91, 2 Au 2.94


[11]
This record from the Alexandria database describes an optimized crystal structure of Rb3ZnAu. The functional is GGA-PBE.

## Properties
formation energy = -0.594 eV/f.u.
size of the total moment = 0.00 μB per atom
DFT total energy = -1.6095 eV/atom

Cell lengths 4.7761, 10.7979, 9.9807 Å; angles 90.00, 90.00, 90.00 degrees
Closest atoms and distances in Å follow each position.
Space group Pmmn (No. 59, origin choice 2)
Unique sites:
Rb (0.2500, 0.0576, 0.1648) (multiplicity 4)  3 Au 3.53-3.79, 1 Zn 3.69
Rb (0.2500, 0.7500, 0.4309) (multiplicity 2)  2 Zn 3.75, 1 Au 3.86
Zn (0.2500, 0.2500, 0.8592) (multiplicity 2)  2 Au 2.58
Au (0.2500, 0.7500, 0.0441) (multiplicity 2)  2 Zn 2.58


[12]
This record from the Alexandria database describes an optimized crystal structure of Rb2ZnAu4. The functional is GGA-PBE.

## Properties
formation energy = -0.495 eV/f.u.
size of the total moment = 0.00 μB per atom
DFT total energy = -2.4019 eV/atom

Cell lengths 5.0873, 5.0873, 17.5391 Å; angles 90.00, 90.00, 90.00 degrees
Closest atoms and distances in Å follow each position.
Space group I4/mmm (No. 139)
Unique sites:
Rb (0.0000, 0.0000, 0.1471) (multiplicity 4)  9 Au 3.60-3.64
Zn (0.0000, 0.0000, 0.5000) (multiplicity 2)  6 Au 2.54-2.55
Au (0.0000, 0.0000, 0.3546) (multiplicity 4)  1 Zn 2.55
Au (0.0000, 0.5000, 0.0000) (multiplicity 4)  2 Zn 2.54


[13]
This record from the Alexandria database describes an optimized crystal structure of Rb5ZnAu4. The functional is GGA-PBE.

## Properties
formation energy = -1.894 eV/f.u.
size of the total moment = 0.00 μB per atom
DFT total energy = -2.1115 eV/atom

Cell lengths 21.8403, 4.6857, 8.5644 Å; angles 90.00, 110.21, 90.00 degrees
Closest atoms and distances in Å follow each position.
Space group C2/m (No. 12)
Unique sites:
Rb (0.0000, 0.0000, 0.0000) (multiplicity 2)  6 Au 3.76-3.77
Rb (0.1388, 0.5000, 0.7575) (multiplicity 4)  4 Au 3.41-3.46
Rb (0.1939, 0.5000, 0.2936) (multiplicity 4)  2 Au 3.42
Zn (0.0000, 0.0000, 0.5000) (multiplicity 2)  6 Au 2.71-2.79
Au (0.0289, 0.5000, 0.3621) (multiplicity 4)  2 Zn 2.79, 3 Au 2.93-3.04
Au (0.1148, 0.0000, 0.4447) (multiplicity 4)  1 Zn 2.71, 2 Au 2.93


[14]
This record from the Alexandria database describes an optimized crystal structure of RbZnAu3. The functional is GGA-PBE.

## Properties
formation energy = -0.944 eV/f.u.
size of the total moment = 0.00 μB per atom
DFT total energy = -2.6035 eV/atom

Cell lengths 9.9901, 10.3346, 9.9662 Å; angles 90.00, 90.00, 90.00 degrees
Closest atoms and distances in Å follow each position.
Space group Cmcm (No. 63)
Unique sites:
Rb (0.0000, 0.0246, 0.2500) (multiplicity 4)  8 Au 3.45-3.83
Rb (0.0000, 0.3833, 0.7500) (multiplicity 4)  8 Au 3.22-3.57
Zn (0.2500, 0.2500, 0.0000) (multiplicity 8)  6 Au 2.62-2.68
Au (0.0000, 0.3128, 0.0649) (multiplicity 8)  2 Zn 2.66, 4 Au 2.83-2.92
Au (0.2096, 0.5000, 0.0000) (multiplicity 8)  2 Zn 2.62, 2 Au 2.92
Au (0.2129, 0.3389, 0.2500) (multiplicity 8)  2 Zn 2.68, 4 Au 2.83-3.00


[15]
This record from the Alexandria database describes an optimized crystal structure of Rb2ZnAu2. The functional is GGA-PBE.

## Properties
formation energy = -1.098 eV/f.u.
size of the total moment = 0.00 μB per atom
DFT total energy = -2.1723 eV/atom

Cell lengths 4.8432, 16.7174, 8.7484 Å; angles 90.00, 90.00, 90.00 degrees
Closest atoms and distances in Å follow each position.
Space group Cmc2_1 (No. 36)
Unique sites:
Rb (0.0000, 0.0526, 0.0000) (multiplicity 4)  6 Au 3.33-3.59, 2 Zn 3.50
Rb (0.0000, 0.2182, 0.3139) (multiplicity 4)  3 Au 3.29-3.64
Zn (0.0000, 0.4127, 0.1079) (multiplicity 4)  4 Au 2.62-2.80
Au (0.0000, 0.1411, 0.6593) (multiplicity 4)  2 Zn 2.62
Au (0.0000, 0.4544, 0.8030) (multiplicity 4)  2 Zn 2.76-2.80


[16]
This record from the Alexandria database describes an optimized crystal structure of RbZn3Au2. The functional is GGA-PBE.

## Properties
formation energy = -1.158 eV/f.u.
size of the total moment = 0.00 μB per atom
DFT total energy = -2.0837 eV/atom

Cell lengths 16.3064, 4.5384, 8.1643 Å; angles 90.00, 112.39, 90.00 degrees
Closest atoms and distances in Å follow each position.
Space group C2/m (No. 12)
Unique sites:
Rb (0.1637, 0.0000, 0.0848) (multiplicity 4)  5 Zn 3.44-3.79, 6 Au 3.59-3.78
Zn (0.9998, 0.0000, 0.3338) (multiplicity 4)  4 Au 2.65-2.86, 3 Zn 2.71-2.74
Zn (0.0890, 0.5000, 0.6424) (multiplicity 4)  3 Au 2.63-2.64, 4 Zn 2.68-2.95
Zn (0.1893, 0.5000, 0.4474) (multiplicity 4)  4 Au 2.62-2.79, 3 Zn 2.68-2.92
Au (0.0189, 0.5000, 0.1846) (multiplicity 4)  4 Zn 2.64-2.79, 1 Au 2.84
Au (0.1610, 0.0000, 0.6018) (multiplicity 4)  7 Zn 2.62-2.86


[17]
This record from the Alexandria database describes an optimized crystal structure of RbZn2Au2. The functional is GGA-PBE.

## Properties
formation energy = -0.999 eV/f.u.
size of the total moment = 0.00 μB per atom
DFT total energy = -2.2139 eV/atom

Cell lengths 4.6870, 4.6870, 10.9720 Å; angles 90.00, 90.00, 90.00 degrees
Closest atoms and distances in Å follow each position.
Space group I4/mmm (No. 139)
Unique sites:
Rb (0.0000, 0.0000, 0.0000) (multiplicity 2)  8 Zn 3.61, 10 Au 3.62-4.04
Zn (0.0000, 0.5000, 0.2500) (multiplicity 4)  4 Au 2.68
Au (0.0000, 0.0000, 0.3682) (multiplicity 4)  4 Zn 2.68, 1 Au 2.89


[18]
This record from the Alexandria database describes an optimized crystal structure of RbZnAu3. The functional is GGA-PBE.

## Properties
formation energy = -0.275 eV/f.u.
size of the total moment = 0.00 μB per atom
DFT total energy = -2.4698 eV/atom

Cell lengths 5.0895, 5.0895, 5.0895 Å; angles 90.00, 90.00, 90.00 degrees
Closest atoms and distances in Å follow each position.
Space group Pm-3m (No. 221)
Unique sites:
Rb (0.0000, 0.0000, 0.0000) (multiplicity 1)  12 Au 3.60
Zn (0.5000, 0.5000, 0.5000) (multiplicity 1)  6 Au 2.54
Au (0.0000, 0.5000, 0.5000) (multiplicity 3)  2 Zn 2.54


[19]
This record from the Alexandria database describes an optimized crystal structure of RbZnAu3. The functional is GGA-PBE.

## Properties
formation energy = -0.637 eV/f.u.
size of the total moment = 0.00 μB per atom
DFT total energy = -2.5420 eV/atom

Cell lengths 6.6896, 6.6896, 6.1460 Å; angles 90.00, 90.00, 120.00 degrees
Closest atoms and distances in Å follow each position.
Space group P6_3/mmc (No. 194)
Unique sites:
Rb (0.3333, 0.6667, 0.2500) (multiplicity 2)  12 Au 3.36-3.49
Zn (0.0000, 0.0000, 0.0000) (multiplicity 2)  6 Au 2.68
Au (0.1900, 0.3800, 0.7500) (multiplicity 6)  2 Zn 2.68, 2 Au 2.88


[20]
This record from the Alexandria database describes an optimized crystal structure of Rb4ZnAu3. The functional is GGA-PBE.

## Properties
formation energy = -1.805 eV/f.u.
size of the total moment = 0.00 μB per atom
DFT total energy = -2.0977 eV/atom

Cell lengths 4.7806, 5.0509, 12.8021 Å; angles 90.00, 90.00, 90.00 degrees
Closest atoms and distances in Å follow each position.
Space group Pmm2 (No. 25)
Unique sites:
Rb (0.0000, 0.0000, 0.0000) (multiplicity 1)  2 Zn 3.56, 5 Au 3.56-3.74
Rb (0.0000, 0.5000, 0.4772) (multiplicity 1)  6 Au 3.57-3.59
Rb (0.5000, 0.0000, 0.6973) (multiplicity 1)  3 Au 3.55-3.64, 4 Zn 3.73
Rb (0.5000, 0.5000, 0.2088) (multiplicity 1)  6 Au 3.59-3.64
Zn (0.0000, 0.5000, 0.8037) (multiplicity 1)  2 Au 2.65
Au (0.0000, 0.0000, 0.2783) (multiplicity 1)  2 Au 2.95
Au (0.5000, 0.0000, 0.4133) (multiplicity 1)  2 Au 2.95
Au (0.5000, 0.5000, 0.8924) (multiplicity 1)  2 Zn 2.65